MgIn2Re | PBE | relaxed

a = 3.013 Å, b = 3.013 Å, c = 8.835 Å
α = 90.00°, β = 90.00°, γ = 90.00°
Atoms (fractional coordinates):
In  0.000  0.000  0.976
In  0.000  0.000  0.524
Mg  0.500  0.500  0.250
Re  0.500  0.500  0.750

Summary:
Energy of formation = 1.72 eV/f.u.
Size of the total moment = 0.000 μB/atom